Entry from the Alexandria database: a geometry-optimized BaRu4 structure (PBE).

a = 5.232 Å, b = 5.232 Å, c = 5.232 Å
α = 97.93°, β = 97.93°, γ = 136.39°
Sites, in units of the cell vectors:
Ba 0.000 0.000 0.000
Ru 0.157 0.398 0.555
Ru 0.398 0.843 0.241
Ru 0.602 0.157 0.759
Ru 0.843 0.602 0.445

Computed properties:
ΔH_f (0 K), eV/atom: 0.903
Total DFT energy (no corrections), Ry/atom: -0.50730
Magnetic moment, μB/f.u.: 0.00
Polymorph energy (0 for the lowest one), meV per atom: 0



Entry from the Alexandria database: a geometry-optimized Ba3Os structure (PBE).

a = 11.246 Å, b = 11.246 Å, c = 11.246 Å
α = 23.39°, β = 23.39°, γ = 23.39°
Sites, in units of the cell vectors:
Ba 0.000 0.000 0.000
Ba 0.217 0.217 0.217
Ba 0.783 0.783 0.783
Os 0.500 0.500 0.500

Computed properties:
ΔH_f (0 K), eV/atom: 0.669
Total DFT energy (no corrections), Ry/atom: -0.26314
Magnetic moment, μB/f.u.: 0.63



Entry from the Alexandria database: a geometry-optimized ErFe2Re structure (PBE).

a = 4.875 Å, b = 4.623 Å, c = 11.854 Å
α = 90.00°, β = 90.00°, γ = 90.00°
Sites, in units of the cell vectors:
Er 0.250 0.000 0.094
Er 0.250 0.500 0.296
Er 0.750 0.000 0.906
Er 0.750 0.500 0.704
Fe 0.000 0.000 0.500
Fe 0.000 0.500 0.000
Fe 0.250 0.259 0.851
Fe 0.250 0.741 0.851
Fe 0.500 0.000 0.500
Fe 0.500 0.500 0.000
Fe 0.750 0.259 0.149
Fe 0.750 0.741 0.149
Re 0.250 0.000 0.679
Re 0.250 0.500 0.553
Re 0.750 0.000 0.321
Re 0.750 0.500 0.447

Computed properties:
ΔH_f (0 K), eV/atom: 0.185
Total DFT energy (no corrections), Ry/atom: -0.60994
Magnetic moment, μB/f.u.: 3.00